The following is a PBE-GGA calculation of crystalline Np2U2S7 at its relaxed geometry, from the Alexandria database.

Cell: 3.898 8.366 8.366 Å, 61.16 76.53 76.53°
Last column: magnetic moment on the atom in μB.
Element x y z (fractional)
Np: 0.740 0.844 0.676  3.71
Np: 0.260 0.324 0.156  3.71
U: 0.000 0.785 0.215  2.19
U: 0.500 0.339 0.661  2.25
S: 0.816 0.070 0.298  -0.12
S: 0.865 0.413 0.857  -0.11
S: 0.500 0.013 0.987  -0.10
S: 0.610 0.501 0.278  -0.10
S: 0.390 0.722 0.499  -0.10
S: 0.184 0.702 0.930  -0.12
S: 0.135 0.143 0.587  -0.11

Results
The theoretical density is 8479 kg/m3. The value obtained for the offset from the most stable computed form is 0 meV/atom. The energy relative to the elements, uncorrected comes out at -1.41 eV/atom.